Record 1
Density functional theory data (GGA-PBE) for a relaxed structure of CdGeAsBr2.

Space group ... No. 123
Energy above the lowest structure with this stoichiometry ... 0.00 eV/f.u.
Uncorrected formation energy ... 15.2 kJ/mol of atoms

```
CdGeAsBr2
1.0
5.243 0.000 0.000
0.000 5.243 0.000
0.000 0.000 5.323
Cd Ge As Br
1 1 1 2
Direct
0.000 0.000 0.000
0.500 0.500 0.500
0.500 0.500 0.000
0.000 0.500 0.500
0.500 0.000 0.500
```

=====

Record 2
Density functional theory data (GGA-PBE) for a relaxed structure of CdAsHBr2.

Space group ... No. 123
Energy above the lowest structure with this stoichiometry ... 1.65 eV/f.u.

```
CdAsHBr2
1.0
5.556 0.000 0.000
0.000 5.556 0.000
0.000 0.000 5.353
Cd As H Br
1 1 1 2
Direct
0.000 0.000 0.000
0.000 0.000 0.500
0.500 0.500 0.500
0.000 0.500 0.000
0.500 0.000 0.000
```

=====

Record 3
Density functional theory data (GGA-PBE) for a relaxed structure of CdAsHBr2.

Space group ... No. 123
Energy above the lowest structure with this stoichiometry ... 0.00 eV/f.u.

```
CdAsHBr2
1.0
5.383 0.000 0.000
0.000 5.383 0.000
0.000 0.000 3.569
Cd As H Br
1 1 1 2
Direct
0.000 0.000 0.000
0.500 0.500 0.000
0.500 0.500 0.500
0.000 0.500 0.500
0.500 0.000 0.500
```

=====

Record 4
Density functional theory data (GGA-PBE) for a relaxed structure of HfCdAs2Br.

Space group ... No. 123
Energy above the lowest structure with this stoichiometry ... 4.49 eV/f.u.
Uncorrected formation energy ... 79.5 kJ/mol of atoms

```
HfCdAs2Br
1.0
5.069 0.000 0.000
0.000 5.069 0.000
0.000 0.000 5.213
Hf Cd As Br
1 1 2 1
Direct
0.000 0.000 0.000
0.500 0.500 0.500
0.000 0.500 0.500
0.500 0.000 0.500
0.500 0.500 0.000
```

=====

Record 5
Density functional theory data (GGA-PBE) for a relaxed structure of HfCdAs2Br.

Space group ... No. 123
Energy above the lowest structure with this stoichiometry ... 0.00 eV/f.u.
Uncorrected formation energy ... -7.1 kJ/mol of atoms

```
HfCdAs2Br
1.0
5.218 0.000 0.000
0.000 5.218 0.000
0.000 0.000 5.249
Hf Cd As Br
1 1 2 1
Direct
0.000 0.000 0.000
0.500 0.500 0.500
0.000 0.500 0.000
0.500 0.000 0.000
0.000 0.000 0.500
```

=====

Record 6
Density functional theory data (GGA-PBE) for a relaxed structure of HfCdAs2Br.

Space group ... No. 123
Energy above the lowest structure with this stoichiometry ... 5.22 eV/f.u.
Uncorrected formation energy ... 93.6 kJ/mol of atoms

```
HfCdAs2Br
1.0
4.999 0.000 0.000
0.000 4.999 0.000
0.000 0.000 5.679
Hf Cd As Br
1 1 2 1
Direct
0.000 0.000 0.000
0.000 0.000 0.500
0.000 0.500 0.500
0.500 0.000 0.500
0.500 0.500 0.000
```

=====

Record 7
Density functional theory data (GGA-PBE) for a relaxed structure of CdHgAs2Br.

Space group ... No. 123
Energy above the lowest structure with this stoichiometry ... 0.00 eV/f.u.
Uncorrected formation energy ... 58.1 kJ/mol of atoms

```
CdHgAs2Br
1.0
5.297 0.000 0.000
0.000 5.297 0.000
0.000 0.000 5.657
Cd Hg As Br
1 1 2 1
Direct
0.000 0.000 0.000
0.500 0.500 0.500
0.000 0.500 0.000
0.500 0.000 0.000
0.000 0.000 0.500
```

=====

Record 8
Density functional theory data (GGA-PBE) for a relaxed structure of CdHg6As4Br6.

Space group ... No. 205
Uncorrected formation energy ... -35.0 kJ/mol of atoms

```
CdHg6As4Br6
1.0
12.679 0.000 0.000
0.000 12.679 0.000
0.000 0.000 12.679
Cd Hg As Br
4 24 16 24
Direct
0.000 0.000 0.000
0.000 0.500 0.500
0.500 0.000 0.500
0.500 0.500 0.000
0.023 0.216 0.719
0.023 0.284 0.219
0.216 0.719 0.023
0.216 0.781 0.523
0.219 0.023 0.284
0.219 0.477 0.784
0.281 0.523 0.284
0.281 0.977 0.784
0.284 0.219 0.023
0.284 0.281 0.523
0.477 0.716 0.719
0.477 0.784 0.219
0.523 0.216 0.781
0.523 0.284 0.281
0.716 0.719 0.477
0.716 0.781 0.977
0.719 0.023 0.216
0.719 0.477 0.716
0.781 0.523 0.216
0.781 0.977 0.716
0.784 0.219 0.477
0.784 0.281 0.977
0.977 0.716 0.781
0.977 0.784 0.281
0.172 0.672 0.828
0.172 0.828 0.328
0.216 0.216 0.216
0.216 0.284 0.716
0.284 0.716 0.216
0.284 0.784 0.716
0.328 0.172 0.828
0.328 0.328 0.328
0.672 0.672 0.672
0.672 0.828 0.172
0.716 0.216 0.284
0.716 0.284 0.784
0.784 0.716 0.284
0.784 0.784 0.784
0.828 0.172 0.672
0.828 0.328 0.172
0.031 0.218 0.962
0.031 0.282 0.462
0.038 0.531 0.282
0.038 0.969 0.782
0.218 0.538 0.531
0.218 0.962 0.031
0.282 0.038 0.531
0.282 0.462 0.031
0.462 0.031 0.282
0.462 0.469 0.782
0.469 0.718 0.962
0.469 0.782 0.462
0.531 0.218 0.538
0.531 0.282 0.038
0.538 0.531 0.218
0.538 0.969 0.718
0.718 0.538 0.969
0.718 0.962 0.469
0.782 0.038 0.969
0.782 0.462 0.469
0.962 0.031 0.218
0.962 0.469 0.718
0.969 0.718 0.538
0.969 0.782 0.038
```

=====

Record 9
Density functional theory data (GGA-PBE) for a relaxed structure of CdHgAsBr.

Space group ... No. 51
Uncorrected formation energy ... -35.3 kJ/mol of atoms

```
CdHgAsBr
1.0
11.114 0.000 0.000
0.000 4.780 0.000
0.000 0.000 10.042
Cd Hg As Br
4 4 4 4
Direct
0.076 0.000 0.214
0.424 0.000 0.214
0.576 0.000 0.786
0.924 0.000 0.786
0.000 0.500 0.500
0.250 0.500 0.765
0.500 0.500 0.500
0.750 0.500 0.235
0.022 0.500 0.754
0.478 0.500 0.754
0.522 0.500 0.246
0.978 0.500 0.246
0.250 0.000 0.019
0.250 0.000 0.419
0.750 0.000 0.581
0.750 0.000 0.981
```

=====

Record 10
Density functional theory data (GGA-PBE) for a relaxed structure of CdAsIBr2.

Space group ... No. 123
Energy above the lowest structure with this stoichiometry ... 0.00 eV/f.u.
Uncorrected formation energy ... 21.0 kJ/mol of atoms

```
CdAsIBr2
1.0
5.264 0.000 0.000
0.000 5.264 0.000
0.000 0.000 5.847
Cd As I Br
1 1 1 2
Direct
0.000 0.000 0.000
0.000 0.000 0.500
0.500 0.500 0.500
0.000 0.500 0.000
0.500 0.000 0.000
```

=====

Record 11
Density functional theory data (GGA-PBE) for a relaxed structure of CdInAs2Br.

Space group ... No. 123
Energy above the lowest structure with this stoichiometry ... 0.00 eV/f.u.
Uncorrected formation energy ... 41.0 kJ/mol of atoms

```
CdInAs2Br
1.0
5.193 0.000 0.000
0.000 5.193 0.000
0.000 0.000 5.972
Cd In As Br
1 1 2 1
Direct
0.000 0.000 0.000
0.500 0.500 0.500
0.000 0.500 0.000
0.500 0.000 0.000
0.000 0.000 0.500
```

=====

Record 12
Density functional theory data (GGA-PBE) for a relaxed structure of CdInAsBr2.

Space group ... No. 123
Energy above the lowest structure with this stoichiometry ... 0.00 eV/f.u.
Uncorrected formation energy ... -5.7 kJ/mol of atoms

```
CdInAsBr2
1.0
5.726 0.000 0.000
0.000 5.726 0.000
0.000 0.000 5.280
Cd In As Br
1 1 1 2
Direct
0.000 0.000 0.000
0.500 0.500 0.500
0.000 0.000 0.500
0.000 0.500 0.000
0.500 0.000 0.000
```

=====

no.,total energy (eV per atom),mass density (g/cm3)
1,-2.548,4.76
2,-1.834,3.50
3,-2.164,5.59
4,-3.544,6.45
5,-4.442,6.05
6,-3.398,6.09
7,-1.836,5.68
8,-2.207,6.83
9,-2.251,5.82
10,-1.875,4.86
11,-2.500,4.71
12,-2.389,4.43